# 1
The following is a DFT calculation (PBE-GGA) of a geometry-optimized Ac2YSi3Pt12 structure.

abc: 7.9054 7.9054 7.9054
angles: 64.01 64.01 64.01
Element x y z (fractional)
Si1 0.0000 0.5000 0.0000
Si2 0.5000 0.0000 0.0000
Si3 0.0000 0.0000 0.5000
Ac1 0.3964 0.3964 0.3964
Ac2 0.6036 0.6036 0.6036
Pt1 0.3988 0.8622 0.8622
Pt2 0.9019 0.3451 0.3451
Pt3 0.1378 0.1378 0.6012
Pt4 0.8622 0.8622 0.3988
Pt5 0.1378 0.6012 0.1378
Pt6 0.0981 0.6549 0.6549
Pt7 0.3451 0.9019 0.3451
Pt8 0.6549 0.0981 0.6549
Pt9 0.8622 0.3988 0.8622
Pt10 0.3451 0.3451 0.9019
Pt11 0.6549 0.6549 0.0981
Pt12 0.6012 0.1378 0.1378
Y1 0.0000 0.0000 0.0000

For the formation energy (no corrections), the calculation gives -570 meV/atom. As for the symmetry: R-3m, No. 166.

# 2
The following is a DFT calculation (PBE-GGA) of a geometry-optimized AcYSi2Pt5 structure.

abc: 4.3381 4.3381 9.0148
angles: 90.00 90.00 90.00
Element x y z (fractional)
Pt1 0.5000 0.5000 0.5000
Pt2 0.0000 0.5000 0.7500
Pt3 0.5000 0.0000 0.7500
Pt4 0.0000 0.5000 0.2500
Pt5 0.5000 0.0000 0.2500
Y1 0.0000 0.0000 0.0000
Si1 0.5000 0.5000 0.8679
Si2 0.5000 0.5000 0.1321
Ac1 0.0000 0.0000 0.5000

For the formation energy (no corrections), the calculation gives -985 meV/atom. As for the symmetry: P4/mmm, No. 123.

# 3
The following is a DFT calculation (PBE-GGA) of a geometry-optimized AcZnSiPt6 structure.

abc: 7.3932 8.7204 8.0669
angles: 122.72 117.27 90.00
Element x y z (fractional)
Pt1 0.8736 0.6382 0.2475
Pt2 0.1264 0.3618 0.7525
Pt3 0.8736 0.1093 0.2475
Pt4 0.6261 0.3618 0.7525
Pt5 0.3739 0.1093 0.2475
Pt6 0.3739 0.6382 0.2475
Pt7 0.8932 0.1432 0.7865
Pt8 0.5870 0.3370 0.1740
Pt9 0.1264 0.8907 0.7525
Pt10 0.6261 0.8907 0.7525
Pt11 0.4130 0.6630 0.8260
Pt12 0.1068 0.8568 0.2135
Ac1 0.8503 0.6003 0.7006
Ac2 0.1497 0.3997 0.2994
Zn1 0.0000 0.0000 0.5000
Zn2 0.5000 0.0000 0.5000
Si1 0.5000 0.5000 0.0000
Si2 0.5000 0.0000 0.0000

For the formation energy (no corrections), the calculation gives -480 meV/atom. As for the symmetry: Imma, No. 74.